1.
BaCd2GaGe (PBE-GGA, optimized geometry); energy of formation from the pure elements = 155 meV/atom; size of the total moment = 0.000 Bohr magnetons per cell; relative energy among the computed polymorphs = 489 meV/atom; calculated total energy = -2.1248 eV per atom; SG = P4/mmm (123)
1.0
5.2288 0.0000 0.0000
0.0000 6.2790 0.0000
0.0000 0.0000 5.2288
Ge Ga Cd Ba
1 1 2 1
Direct
0.0000 0.0000 0.0000
0.5000 0.5000 0.5000
0.0000 0.0000 0.5000
0.5000 0.0000 0.0000
0.0000 0.5000 0.0000

=====

2.
BaCd2GaGe (PBE-GGA, optimized geometry); energy of formation from the pure elements = -334 meV/atom; size of the total moment = 0.000 Bohr magnetons per cell; relative energy among the computed polymorphs = 0 meV/atom; calculated total energy = -2.6139 eV per atom; SG = Imm2 (44)
1.0
-3.8567 2.2267 -1.1289
1.0954 -0.4535 -4.6371
-1.5521 -6.0609 2.6962
Cd Ga Ba Ge
2 1 1 1
Direct
0.6993 0.1993 0.3986
0.0563 0.0563 0.1127
0.1917 0.6917 0.3834
0.4395 0.4395 0.8791
0.8252 0.8252 0.6505

=====

What is the formula in the first record? BaCd2GaGe